Record 1
Computed, not measured: a geometry-optimized PrMg2Sn2Au2 structure at the GGA-PBE level of DFT.

Values from the calculation:
Raw total energy = -3.758 eV per atom
Density of states at the Fermi level = 2.182 states/eV/f.u.

abc: 4.6306 4.6306 9.0243
angles: 75.13 75.13 60.00
Positions (direct):
1 Sn 0.7374 0.7374 0.7879
2 Au 0.4417 0.4417 0.6748
3 Mg 0.8616 0.8616 0.4151
4 Mg 0.1384 0.1384 0.5849
5 Pr 0.0000 0.0000 0.0000
6 Sn 0.2626 0.2626 0.2121
7 Au 0.5583 0.5583 0.3252

***

Record 2
Computed, not measured: a geometry-optimized SrPrMgAu structure at the GGA-PBE level of DFT.

Values from the calculation:
Raw total energy = -3.155 eV per atom
Density of states at the Fermi level = 3.891 states/eV/f.u.

abc: 5.4858 5.4858 5.4858
angles: 60.00 60.00 60.00
Positions (direct):
1 Au 0.0000 0.0000 0.0000
2 Sr 0.2500 0.2500 0.2500
3 Pr 0.7500 0.7500 0.7500
4 Mg 0.5000 0.5000 0.5000

***

Record 3
Computed, not measured: a geometry-optimized TbPrMgAu structure at the GGA-PBE level of DFT.

Values from the calculation:
Raw total energy = -3.942 eV per atom
Distance to the lowest polymorph of the same formula = 76 meV per atom
Density of states at the Fermi level = 3.528 states/eV/f.u.

abc: 5.3095 5.3095 5.3095
angles: 60.00 60.00 60.00
Positions (direct):
1 Tb 0.5000 0.5000 0.5000
2 Au 0.7500 0.7500 0.7500
3 Pr 0.0000 0.0000 0.0000
4 Mg 0.2500 0.2500 0.2500

***

Record 4
Computed, not measured: a geometry-optimized Tb2PrMgAu4 structure at the GGA-PBE level of DFT.

Values from the calculation:
Raw total energy = -4.361 eV per atom
Density of states at the Fermi level = 5.805 states/eV/f.u.

abc: 5.0367 5.0367 8.9504
angles: 73.66 73.66 60.00
Positions (direct):
1 Tb 0.2415 0.2415 0.2754
2 Au 0.8770 0.8770 0.3689
3 Au 0.3867 0.3867 0.8399
4 Au 0.1230 0.1230 0.6311
5 Tb 0.7585 0.7585 0.7246
6 Pr 0.0000 0.0000 0.0000
7 Mg 0.5000 0.5000 0.5000
8 Au 0.6133 0.6133 0.1601

***

Record 5
Computed, not measured: a geometry-optimized TbPrMg2Au4 structure at the GGA-PBE level of DFT.

Values from the calculation:
Raw total energy = -3.962 eV per atom
Density of states at the Fermi level = 4.214 states/eV/f.u.

abc: 4.9821 4.9821 8.6410
angles: 73.24 73.24 60.00
Positions (direct):
1 Tb 0.5000 0.5000 0.5000
2 Au 0.3792 0.3792 0.8625
3 Au 0.6208 0.6208 0.1375
4 Mg 0.2490 0.2490 0.2529
5 Au 0.8711 0.8711 0.3868
6 Pr 0.0000 0.0000 0.0000
7 Mg 0.7510 0.7510 0.7471
8 Au 0.1289 0.1289 0.6132

***

Record 6
Computed, not measured: a geometry-optimized TbPrMgAu structure at the GGA-PBE level of DFT.

Values from the calculation:
Raw total energy = -4.018 eV per atom
Distance to the lowest polymorph of the same formula = 0 meV per atom
Density of states at the Fermi level = 3.681 states/eV/f.u.

abc: 3.7705 3.7705 7.4635
angles: 90.00 90.00 90.00
Positions (direct):
1 Pr 0.0000 0.0000 0.8667
2 Au 0.5000 0.5000 0.1318
3 Mg 0.5000 0.5000 0.5919
4 Tb 0.0000 0.0000 0.3376

***

Record 7
Computed, not measured: a geometry-optimized PrMgTe3Au structure at the GGA-PBE level of DFT.

Values from the calculation:
Raw total energy = -4.066 eV per atom
Density of states at the Fermi level = 0.290 states/eV/f.u.
Formation energy without anion corrections = -0.8868 eV per atom

abc: 4.2313 8.1713 10.1694
angles: 100.10 90.00 90.00
Positions (direct):
1 Te 0.7500 0.3030 0.5303
2 Mg 0.7500 0.3372 0.8454
3 Pr 0.2500 0.1977 0.2820
4 Pr 0.7500 0.8023 0.7180
5 Te 0.7500 0.4100 0.1406
6 Te 0.7500 0.9189 0.1472
7 Mg 0.2500 0.6628 0.1546
8 Au 0.2500 0.0865 0.5801
9 Te 0.2500 0.0811 0.8528
10 Te 0.2500 0.6970 0.4697
11 Te 0.2500 0.5900 0.8594
12 Au 0.7500 0.9135 0.4199

***

Record 8
Computed, not measured: a geometry-optimized PrTm2MgAu4 structure at the GGA-PBE level of DFT.

Values from the calculation:
Raw total energy = -4.332 eV per atom
Density of states at the Fermi level = 5.889 states/eV/f.u.

abc: 4.9513 4.9513 8.9998
angles: 74.03 74.03 60.00
Positions (direct):
1 Mg 0.5000 0.5000 0.5000
2 Pr 0.0000 0.0000 0.0000
3 Tm 0.7589 0.7589 0.7234
4 Au 0.3890 0.3890 0.8331
5 Au 0.6110 0.6110 0.1669
6 Au 0.1241 0.1241 0.6276
7 Au 0.8759 0.8759 0.3724
8 Tm 0.2411 0.2411 0.2766